(P)
Compound: Re2HgBr2
Source: Alexandria via LeMat-Bulk
Functional: PBE-GGA
Structure: optimized geometry

Structure (CIF):
```
data_Re2HgBr2
_cell_length_a 9.882
_cell_length_b 9.882
_cell_length_c 2.876
_cell_angle_alpha 90.00
_cell_angle_beta 90.00
_cell_angle_gamma 90.00
_space_group_name_H-M_alt 'P 1'
_space_group_IT_number 1
_space_group_name_Hall 'P 1'
loop_
_atom_site_label
_atom_site_type_symbol
_atom_site_fract_x
_atom_site_fract_y
_atom_site_fract_z
_atom_site_occupancy
Re1 Re 0.417 0.917 0.000 1
Re2 Re 0.917 0.583 0.000 1
Re3 Re 0.583 0.083 0.000 1
Re4 Re 0.083 0.417 0.000 1
Hg1 Hg 0.000 0.000 0.000 1
Hg2 Hg 0.500 0.500 0.000 1
Br1 Br 0.265 0.765 0.500 1
Br2 Br 0.765 0.735 0.500 1
Br3 Br 0.735 0.235 0.500 1
Br4 Br 0.235 0.265 0.500 1
```

Output
**Size of the total moment**: 0.0 μB/f.u.



(Q)
Compound: Re2HgBr2
Source: Alexandria via LeMat-Bulk
Functional: PBE-GGA
Structure: optimized geometry

Structure (CIF):
```
data_Re2HgBr2
_cell_length_a 4.538
_cell_length_b 4.538
_cell_length_c 6.429
_cell_angle_alpha 69.33
_cell_angle_beta 69.33
_cell_angle_gamma 90.00
_space_group_name_H-M_alt 'P 1'
_space_group_IT_number 1
_space_group_name_Hall 'P 1'
loop_
_atom_site_label
_atom_site_type_symbol
_atom_site_fract_x
_atom_site_fract_y
_atom_site_fract_z
_atom_site_occupancy
Re1 Re 0.402 0.402 0.195 1
Re2 Re 0.598 0.598 0.805 1
Hg1 Hg 0.000 0.000 0.000 1
Br1 Br 0.750 0.250 0.500 1
Br2 Br 0.250 0.750 0.500 1
```

Output
**Size of the total moment**: 1.1 μB/f.u.



Stability, highest: (P)



(P)
Compound: HgRhBr
Source: Alexandria via LeMat-Bulk
Functional: PBE-GGA
Structure: optimized geometry

Structure (CIF):
```
data_HgRhBr
_cell_length_a 4.597
_cell_length_b 4.597
_cell_length_c 4.597
_cell_angle_alpha 60.00
_cell_angle_beta 60.00
_cell_angle_gamma 60.00
_space_group_name_H-M_alt 'P 1'
_space_group_IT_number 1
_space_group_name_Hall 'P 1'
loop_
_atom_site_label
_atom_site_type_symbol
_atom_site_fract_x
_atom_site_fract_y
_atom_site_fract_z
_atom_site_occupancy
Rh1 Rh 0.750 0.750 0.750 1
Hg1 Hg 0.500 0.500 0.500 1
Br1 Br 0.000 0.000 0.000 1
```

Output
**Size of the total moment**: 0.0 μB/f.u.



(Q)
Compound: HgRhBr
Source: Alexandria via LeMat-Bulk
Functional: PBE-GGA
Structure: optimized geometry

Structure (CIF):
```
data_HgRhBr
_cell_length_a 3.540
_cell_length_b 3.540
_cell_length_c 6.093
_cell_angle_alpha 90.00
_cell_angle_beta 90.00
_cell_angle_gamma 120.00
_space_group_name_H-M_alt 'P 1'
_space_group_IT_number 1
_space_group_name_Hall 'P 1'
loop_
_atom_site_label
_atom_site_type_symbol
_atom_site_fract_x
_atom_site_fract_y
_atom_site_fract_z
_atom_site_occupancy
Rh1 Rh 0.333 0.667 0.682 1
Hg1 Hg 0.667 0.333 0.371 1
Br1 Br 0.000 0.000 0.946 1
```

Output
**Size of the total moment**: 0.8 μB/f.u.



Stability, highest: (Q)



(P)
Compound: HgRhBr
Source: Alexandria via LeMat-Bulk
Functional: PBE-GGA
Structure: optimized geometry

Structure (CIF):
```
data_HgRhBr
_cell_length_a 6.495
_cell_length_b 6.495
_cell_length_c 6.495
_cell_angle_alpha 151.02
_cell_angle_beta 151.02
_cell_angle_gamma 41.45
_space_group_name_H-M_alt 'P 1'
_space_group_IT_number 1
_space_group_name_Hall 'P 1'
loop_
_atom_site_label
_atom_site_type_symbol
_atom_site_fract_x
_atom_site_fract_y
_atom_site_fract_z
_atom_site_occupancy
Rh1 Rh 0.667 0.667 0.000 1
Hg1 Hg 0.303 0.303 0.000 1
Br1 Br 0.030 0.030 0.000 1
```

Output
**Size of the total moment**: 0.3 μB/f.u.



(Q)
Compound: HgRhBr
Source: Alexandria via LeMat-Bulk
Functional: PBE-GGA
Structure: optimized geometry

Structure (CIF):
```
data_HgRhBr
_cell_length_a 7.234
_cell_length_b 6.816
_cell_length_c 3.432
_cell_angle_alpha 82.74
_cell_angle_beta 69.18
_cell_angle_gamma 28.08
_space_group_name_H-M_alt 'P 1'
_space_group_IT_number 1
_space_group_name_Hall 'P 1'
loop_
_atom_site_label
_atom_site_type_symbol
_atom_site_fract_x
_atom_site_fract_y
_atom_site_fract_z
_atom_site_occupancy
Rh1 Rh 0.658 0.658 0.342 1
Hg1 Hg 0.318 0.318 0.682 1
Br1 Br 0.024 0.024 0.976 1
```

Output
**Size of the total moment**: 0.0 μB/f.u.



Stability, highest: (Q)



(P)
Compound: HgRh2Br
Source: Alexandria via LeMat-Bulk
Functional: PBE-GGA
Structure: optimized geometry

Structure (CIF):
```
data_HgRh2Br
_cell_length_a 6.464
_cell_length_b 6.464
_cell_length_c 6.464
_cell_angle_alpha 152.74
_cell_angle_beta 138.93
_cell_angle_gamma 50.00
_space_group_name_H-M_alt 'P 1'
_space_group_IT_number 1
_space_group_name_Hall 'P 1'
loop_
_atom_site_label
_atom_site_type_symbol
_atom_site_fract_x
_atom_site_fract_y
_atom_site_fract_z
_atom_site_occupancy
Rh1 Rh 0.921 0.921 0.000 1
Rh2 Rh 0.734 0.234 0.500 1
Hg1 Hg 0.289 0.789 0.500 1
Br1 Br 0.556 0.556 0.000 1
```

Output
**Size of the total moment**: 0.1 μB/f.u.



(Q)
Compound: HgRh2Br
Source: Alexandria via LeMat-Bulk
Functional: PBE-GGA
Structure: optimized geometry

Structure (CIF):
```
data_HgRh2Br
_cell_length_a 4.659
_cell_length_b 4.659
_cell_length_c 4.659
_cell_angle_alpha 60.00
_cell_angle_beta 60.00
_cell_angle_gamma 60.00
_space_group_name_H-M_alt 'P 1'
_space_group_IT_number 1
_space_group_name_Hall 'P 1'
loop_
_atom_site_label
_atom_site_type_symbol
_atom_site_fract_x
_atom_site_fract_y
_atom_site_fract_z
_atom_site_occupancy
Rh1 Rh 0.250 0.250 0.250 1
Rh2 Rh 0.750 0.750 0.750 1
Hg1 Hg 0.500 0.500 0.500 1
Br1 Br 0.000 0.000 0.000 1
```

Output
**Size of the total moment**: 1.5 μB/f.u.



Stability, highest: (P)



(P)
Compound: HgRh2Br
Source: Alexandria via LeMat-Bulk
Functional: PBE-GGA
Structure: optimized geometry

Structure (CIF):
```
data_HgRh2Br
_cell_length_a 3.152
_cell_length_b 3.152
_cell_length_c 6.968
_cell_angle_alpha 90.00
_cell_angle_beta 90.00
_cell_angle_gamma 90.00
_space_group_name_H-M_alt 'P 1'
_space_group_IT_number 1
_space_group_name_Hall 'P 1'
loop_
_atom_site_label
_atom_site_type_symbol
_atom_site_fract_x
_atom_site_fract_y
_atom_site_fract_z
_atom_site_occupancy
Rh1 Rh 0.000 0.000 0.012 1
Rh2 Rh 0.000 0.000 0.488 1
Hg1 Hg 0.500 0.500 0.750 1
Br1 Br 0.500 0.500 0.250 1
```

Output
**Size of the total moment**: 0.0 μB/f.u.



(Q)
Compound: HgRh2Br
Source: Alexandria via LeMat-Bulk
Functional: PBE-GGA
Structure: optimized geometry

Structure (CIF):
```
data_HgRh2Br
_cell_length_a 5.513
_cell_length_b 5.513
_cell_length_c 5.513
_cell_angle_alpha 138.30
_cell_angle_beta 138.30
_cell_angle_gamma 60.44
_space_group_name_H-M_alt 'P 1'
_space_group_IT_number 1
_space_group_name_Hall 'P 1'
loop_
_atom_site_label
_atom_site_type_symbol
_atom_site_fract_x
_atom_site_fract_y
_atom_site_fract_z
_atom_site_occupancy
Rh1 Rh 0.000 0.000 0.000 1
Rh2 Rh 0.250 0.750 0.500 1
Hg1 Hg 0.750 0.250 0.500 1
Br1 Br 0.500 0.500 0.000 1
```

Output
**Size of the total moment**: 1.2 μB/f.u.



(R)
Compound: HgRh2Br
Source: Alexandria via LeMat-Bulk
Functional: PBE-GGA
Structure: optimized geometry

Structure (CIF):
```
data_HgRh2Br
_cell_length_a 5.388
_cell_length_b 5.297
_cell_length_c 3.147
_cell_angle_alpha 88.71
_cell_angle_beta 73.68
_cell_angle_gamma 119.01
_space_group_name_H-M_alt 'P 1'
_space_group_IT_number 1
_space_group_name_Hall 'P 1'
loop_
_atom_site_label
_atom_site_type_symbol
_atom_site_fract_x
_atom_site_fract_y
_atom_site_fract_z
_atom_site_occupancy
Rh1 Rh 0.000 0.000 0.000 1
Rh2 Rh 0.000 0.500 0.500 1
Hg1 Hg 0.500 0.000 0.500 1
Br1 Br 0.500 0.500 0.000 1
```

Output
**Size of the total moment**: 0.0 μB/f.u.



(S)
Compound: HgRh2Br
Source: Alexandria via LeMat-Bulk
Functional: PBE-GGA
Structure: optimized geometry

Structure (CIF):
```
data_HgRh2Br
_cell_length_a 3.130
_cell_length_b 3.130
_cell_length_c 7.927
_cell_angle_alpha 90.00
_cell_angle_beta 90.00
_cell_angle_gamma 90.04
_space_group_name_H-M_alt 'P 1'
_space_group_IT_number 1
_space_group_name_Hall 'P 1'
loop_
_atom_site_label
_atom_site_type_symbol
_atom_site_fract_x
_atom_site_fract_y
_atom_site_fract_z
_atom_site_occupancy
Rh1 Rh 0.000 0.000 0.033 1
Rh2 Rh 0.500 0.500 0.222 1
Hg1 Hg 0.500 0.500 0.803 1
Br1 Br 0.000 0.000 0.442 1
```

Output
**Size of the total moment**: 1.2 μB/f.u.



Stability, highest: (S)